4
Lattice="2.760 0.000 0.000 0.000 3.840 0.000 -0.774 0.000 6.153" Properties=species:S:1:pos:R:3 comment="Cu2TeW, optimized geometry, DFT GGA-PBEsol" magnetic_moment_mub_per_cell=0.00 crystal_system=monoclinic formation_energy_uncorrected_ev_per_atom=0.632 spacegroup="No. 10" dft_energy_ev_per_atom=-5.87 pbc="T T T"
Cu 0.091 0.000 1.241
Cu 1.895 0.000 4.913
Te 0.993 1.920 3.077
W 1.380 1.920 0.000

---

4
Lattice="3.854 0.000 0.000 0.000 3.854 0.000 0.000 0.000 3.854" Properties=species:S:1:pos:R:3 comment="TiZn3, optimized geometry, DFT GGA-PBEsol" magnetic_moment_mub_per_cell=0.00 formation_enthalpy_0k_mev_per_atom=-211 crystal_system=cubic spacegroup="No. 221" dft_energy_ev_per_atom=-3.48 pbc="T T T"
Ti 0.000 0.000 0.000
Zn 0.000 1.927 1.927
Zn 1.927 0.000 1.927
Zn 1.927 1.927 0.000

---

5
Lattice="3.911 0.000 0.000 0.000 3.911 0.000 0.000 0.000 3.911" Properties=species:S:1:pos:R:3 comment="SrTcO3, optimized geometry, DFT GGA-PBEsol" magnetic_moment_mub_per_cell=0.00 crystal_system=cubic formation_energy_uncorrected_ev_per_atom=-2.151 spacegroup="No. 221" dft_energy_ev_per_atom=-7.92 pbc="T T T"
Sr 0.000 0.000 0.000
Tc 1.956 1.956 1.956
O 0.000 1.956 1.956
O 1.956 0.000 1.956
O 1.956 1.956 0.000

---

80
Lattice="9.140 0.000 0.000 0.000 9.512 0.000 0.000 0.000 9.795" Properties=species:S:1:pos:R:3 comment="Li5BiO4, optimized geometry, DFT GGA-PBEsol" magnetic_moment_mub_per_cell=0.00 crystal_system=orthorhombic formation_energy_uncorrected_ev_per_atom=-1.683 spacegroup="No. 61" dft_energy_ev_per_atom=-5.20 pbc="T T T"
Li 1.077 0.753 1.379
Li 1.077 4.003 6.276
Li 1.095 6.043 8.336
Li 1.095 8.225 3.438
Li 1.155 1.372 8.867
Li 1.155 3.384 3.970
Li 1.254 1.474 6.305
Li 1.254 3.282 1.407
Li 1.575 5.806 4.056
Li 1.575 8.461 8.953
Li 2.995 1.050 4.056
Li 2.995 3.706 8.953
Li 3.316 6.230 6.305
Li 3.316 8.038 1.407
Li 3.415 6.128 8.867
Li 3.415 8.140 3.970
Li 3.475 1.287 8.336
Li 3.475 3.469 3.438
Li 3.493 5.509 1.379
Li 3.493 8.759 6.276
Li 5.647 0.753 3.519
Li 5.647 4.003 8.417
Li 5.665 6.043 6.357
Li 5.665 8.225 1.460
Li 5.725 1.372 5.826
Li 5.725 3.384 0.928
Li 5.824 1.474 8.388
Li 5.824 3.282 3.491
Li 6.145 5.806 0.842
Li 6.145 8.461 5.740
Li 7.565 1.050 0.842
Li 7.565 3.706 5.740
Li 7.886 6.230 8.388
Li 7.886 8.038 3.491
Li 7.985 6.128 5.826
Li 7.985 8.140 0.928
Li 8.045 1.287 6.357
Li 8.045 3.469 1.460
Li 8.063 5.509 3.519
Li 8.063 8.759 8.417
Bi 0.651 6.187 1.418
Bi 0.651 8.081 6.316
Bi 3.919 1.431 1.418
Bi 3.919 3.325 6.316
Bi 5.221 6.187 3.480
Bi 5.221 8.081 8.378
Bi 8.489 1.431 3.480
Bi 8.489 3.325 8.378
O 0.002 2.120 0.502
O 0.002 2.636 5.400
O 9.138 6.876 4.395
O 9.138 7.392 9.293
O 0.192 0.407 7.517
O 0.192 4.349 2.619
O 2.015 5.063 0.116
O 2.015 9.205 5.014
O 2.187 2.119 2.619
O 2.187 2.637 7.516
O 2.383 6.875 2.619
O 2.383 7.393 7.516
O 2.555 0.307 0.116
O 2.555 4.449 5.014
O 4.378 5.163 7.517
O 4.378 9.105 2.619
O 4.572 2.120 4.395
O 4.572 2.636 9.293
O 4.568 6.876 0.502
O 4.568 7.392 5.400
O 4.762 0.407 7.176
O 4.762 4.349 2.279
O 6.585 5.063 4.782
O 6.585 9.205 9.679
O 6.757 2.119 2.279
O 6.757 2.637 7.177
O 6.953 6.875 2.279
O 6.953 7.393 7.177
O 7.125 0.307 4.782
O 7.125 4.449 9.679
O 8.948 5.163 7.176
O 8.948 9.105 2.279